VASP calculation (PBE) on HfBIr after structural relaxation.

Lattice parameters (Å, degrees): 3.6216 14.2939 3.1224 90.00 90.00 90.00
Last column: nearest neighbours and their distance in Å.
Fractional positions:
Hf  0.0000  0.0977  0.2500  6 B 2.57-2.59, 4 Ir 2.76
Hf  0.0000  0.9023  0.7500  6 B 2.57-2.59, 4 Ir 2.76
Hf  0.5000  0.4023  0.7500  6 B 2.57-2.59, 4 Ir 2.76
Hf  0.5000  0.5977  0.2500  6 B 2.57-2.59, 4 Ir 2.76
B  0.0000  0.4678  0.2500  2 B 1.81
B  0.0000  0.5322  0.7500  2 B 1.81
B  0.5000  0.0322  0.7500  2 B 1.81
B  0.5000  0.9678  0.2500  2 B 1.81
Ir  0.0000  0.3056  0.2500  1 B 2.32
Ir  0.0000  0.6944  0.7500  1 B 2.32
Ir  0.5000  0.1944  0.7500  1 B 2.32
Ir  0.5000  0.8056  0.2500  1 B 2.32

Summary:
The formation energy comes out at -0.718 eV per atom. The energy above the most stable polymorph in this dataset comes out at 0.0 meV/atom. The spin magnetization is 0.00 μB/cell. As for the space group: No. 63.

VASP calculation (PBE) on Hf2MgB2Ir5 after structural relaxation.

Lattice parameters (Å, degrees): 9.3677 9.3677 3.2000 90.00 90.00 90.00
Last column: nearest neighbours and their distance in Å.
Fractional positions:
Hf  0.1775  0.3225  0.0000  3 B 2.63-2.87, 6 Ir 2.84-2.88
Hf  0.3225  0.8225  0.0000  3 B 2.63-2.87, 6 Ir 2.84-2.88
Hf  0.6775  0.1775  0.0000  3 B 2.63-2.87, 6 Ir 2.84-2.88
Hf  0.8225  0.6775  0.0000  3 B 2.63-2.87, 6 Ir 2.84-2.88
Mg  0.0000  0.0000  0.0000  8 Ir 2.69
Mg  0.5000  0.5000  0.0000  8 Ir 2.69
B  0.1237  0.6237  0.0000  6 Ir 2.23-2.29
B  0.3763  0.1237  0.0000  6 Ir 2.23-2.29
B  0.6237  0.8763  0.0000  6 Ir 2.23-2.29
B  0.8763  0.3763  0.0000  6 Ir 2.23-2.29
Ir  0.0000  0.5000  0.5000  4 B 2.29
Ir  0.0709  0.7801  0.5000  2 B 2.23
Ir  0.2199  0.0709  0.5000  2 B 2.23
Ir  0.2801  0.5709  0.5000  2 B 2.23
Ir  0.4291  0.2801  0.5000  2 B 2.23
Ir  0.5000  0.0000  0.5000  4 B 2.29
Ir  0.5709  0.7199  0.5000  2 B 2.23
Ir  0.7199  0.4291  0.5000  2 B 2.23
Ir  0.7801  0.9291  0.5000  2 B 2.23
Ir  0.9291  0.2199  0.5000  2 B 2.23

Summary:
The formation energy comes out at -0.773 eV per atom. The spin magnetization is 0.00 μB/cell. As for the space group: No. 127.

VASP calculation (PBE) on NaHf2BIr after structural relaxation.

Lattice parameters (Å, degrees): 5.1453 5.1453 4.1054 90.00 90.00 90.00
Last column: nearest neighbours and their distance in Å.
Fractional positions:
Na  0.0000  0.0000  0.0000  8 Hf 3.29, 4 B 3.64
Hf  0.0000  0.5000  0.5000  2 Ir 2.57
Hf  0.5000  0.0000  0.5000  2 Ir 2.57
B  0.5000  0.5000  0.0000  2 Ir 2.05
Ir  0.5000  0.5000  0.5000  2 B 2.05

Summary:
The formation energy comes out at 0.485 eV per atom. The energy above the most stable polymorph in this dataset comes out at 0.0 meV/atom. The spin magnetization is 0.00 μB/cell. As for the space group: No. 123.

VASP calculation (PBE) on NaHf2BIr after structural relaxation.

Lattice parameters (Å, degrees): 4.9470 4.9470 5.1296 90.00 90.00 90.00
Last column: nearest neighbours and their distance in Å.
Fractional positions:
Na  0.0000  0.0000  0.0000  2 Ir 2.56
Hf  0.0000  0.5000  0.5000  2 Ir 2.47
Hf  0.5000  0.0000  0.5000  2 Ir 2.47
B  0.5000  0.5000  0.0000  4 Na 3.50, 8 Hf 3.56
Ir  0.0000  0.0000  0.5000  4 Hf 2.47, 2 Na 2.56

Summary:
The formation energy comes out at 1.230 eV per atom. The energy above the most stable polymorph in this dataset comes out at 745.0 meV/atom. The spin magnetization is 0.59 μB/cell. As for the space group: No. 123.

VASP calculation (PBE) on HfNi2BIr after structural relaxation.

Lattice parameters (Å, degrees): 3.9639 3.9639 4.1239 90.00 90.00 90.00
Last column: nearest neighbours and their distance in Å.
Fractional positions:
Hf  0.0000  0.0000  0.0000  4 Ir 2.80, 8 Ni 2.86
Ni  0.0000  0.5000  0.5000  2 B 1.98
Ni  0.5000  0.0000  0.5000  2 B 1.98
B  0.5000  0.5000  0.5000  4 Ni 1.98, 2 Ir 2.06
Ir  0.5000  0.5000  0.0000  2 B 2.06

Summary:
The formation energy comes out at -0.464 eV per atom. The spin magnetization is 0.00 μB/cell. As for the space group: No. 123.

VASP calculation (PBE) on HfBIrOs2 after structural relaxation.

Lattice parameters (Å, degrees): 4.7777 4.7777 4.1494 90.00 90.00 90.00
Last column: nearest neighbours and their distance in Å.
Fractional positions:
Hf  0.0000  0.0000  0.0000  2 B 2.07
B  0.0000  0.0000  0.5000  2 Hf 2.07
Ir  0.5000  0.5000  0.5000  8 Os 3.16, 4 B 3.38
Os  0.0000  0.5000  0.0000  2 Hf 2.39
Os  0.5000  0.0000  0.0000  2 Hf 2.39

Summary:
The formation energy comes out at 2.496 eV per atom. The energy above the most stable polymorph in this dataset comes out at 2955.9 meV/atom. The spin magnetization is 1.54 μB/cell. As for the space group: No. 123.

VASP calculation (PBE) on HfBIrOs2 after structural relaxation.

Lattice parameters (Å, degrees): 4.1582 4.1582 4.1108 90.00 90.00 90.00
Last column: nearest neighbours and their distance in Å.
Fractional positions:
Hf  0.0000  0.0000  0.0000  8 Os 2.92, 4 Ir 2.94
B  0.5000  0.5000  0.5000  2 Ir 2.06, 4 Os 2.08
Ir  0.5000  0.5000  0.0000  2 B 2.06
Os  0.0000  0.5000  0.5000  2 B 2.08
Os  0.5000  0.0000  0.5000  2 B 2.08

Summary:
The formation energy comes out at -0.460 eV per atom. The energy above the most stable polymorph in this dataset comes out at 0.0 meV/atom. The spin magnetization is 0.00 μB/cell. As for the space group: No. 123.

VASP calculation (PBE) on HfB2IrRu after structural relaxation.

Lattice parameters (Å, degrees): 4.2938 4.2938 4.8725 90.00 90.00 90.00
Last column: nearest neighbours and their distance in Å.
Fractional positions:
Hf  0.0000  0.0000  0.0000  4 B 2.15
B  0.0000  0.5000  0.0000  2 Hf 2.15
B  0.5000  0.0000  0.0000  2 Hf 2.15
Ir  0.0000  0.0000  0.5000  2 Hf 2.44
Ru  0.5000  0.5000  0.5000  4 Ir 3.04, 8 B 3.25

Summary:
The formation energy comes out at 2.036 eV per atom. The spin magnetization is 2.66 μB/cell. As for the space group: No. 123.

VASP calculation (PBE) on HfSc2B2Ir5 after structural relaxation.

Lattice parameters (Å, degrees): 9.5063 9.5063 3.1997 90.00 90.00 90.00
Last column: nearest neighbours and their distance in Å.
Fractional positions:
Hf  0.0000  0.0000  0.0000  8 Ir 2.74
Hf  0.5000  0.5000  0.0000  8 Ir 2.74
Sc  0.1753  0.3247  0.0000  3 B 2.75-2.86, 10 Ir 2.85-3.00
Sc  0.3247  0.8247  0.0000  3 B 2.75-2.86, 10 Ir 2.85-3.00
Sc  0.6753  0.1753  0.0000  3 B 2.75-2.86, 10 Ir 2.85-3.00
Sc  0.8247  0.6753  0.0000  3 B 2.75-2.86, 10 Ir 2.85-3.00
B  0.1203  0.6203  0.0000  6 Ir 2.24-2.27
B  0.3797  0.1203  0.0000  6 Ir 2.24-2.27
B  0.6203  0.8797  0.0000  6 Ir 2.24-2.27
B  0.8797  0.3797  0.0000  6 Ir 2.24-2.27
Ir  0.0000  0.5000  0.5000  4 B 2.27
Ir  0.0715  0.7777  0.5000  2 B 2.24
Ir  0.2223  0.0715  0.5000  2 B 2.24
Ir  0.2777  0.5715  0.5000  2 B 2.24
Ir  0.4285  0.2777  0.5000  2 B 2.24
Ir  0.5000  0.0000  0.5000  4 B 2.27
Ir  0.5715  0.7223  0.5000  2 B 2.24
Ir  0.7223  0.4285  0.5000  2 B 2.24
Ir  0.7777  0.9285  0.5000  2 B 2.24
Ir  0.9285  0.2223  0.5000  2 B 2.24

Summary:
The formation energy comes out at -0.881 eV per atom. The spin magnetization is 0.00 μB/cell. As for the space group: No. 127.

VASP calculation (PBE) on HfTc2BIr after structural relaxation.

Lattice parameters (Å, degrees): 4.1697 4.1697 4.1493 90.00 90.00 90.00
Last column: nearest neighbours and their distance in Å.
Fractional positions:
Hf  0.0000  0.0000  0.0000  8 Tc 2.94, 4 Ir 2.95
Tc  0.0000  0.5000  0.5000  2 B 2.08
Tc  0.5000  0.0000  0.5000  2 B 2.08
B  0.5000  0.5000  0.5000  2 Ir 2.07, 4 Tc 2.08
Ir  0.5000  0.5000  0.0000  2 B 2.07

Summary:
The formation energy comes out at -0.424 eV per atom. The spin magnetization is 0.00 μB/cell. As for the space group: No. 123.

VASP calculation (PBE) on HfTcBIr2 after structural relaxation.

Lattice parameters (Å, degrees): 4.1115 4.1115 4.2361 90.00 90.00 90.00
Last column: nearest neighbours and their distance in Å.
Fractional positions:
Hf  0.0000  0.0000  0.0000  4 Tc 2.91, 8 Ir 2.95
Tc  0.5000  0.5000  0.0000  2 B 2.12
B  0.5000  0.5000  0.5000  4 Ir 2.06, 2 Tc 2.12
Ir  0.0000  0.5000  0.5000  2 B 2.06
Ir  0.5000  0.0000  0.5000  2 B 2.06

Summary:
The formation energy comes out at -0.598 eV per atom. The spin magnetization is 0.00 μB/cell. As for the space group: No. 123.

VASP calculation (PBE) on KHfB3 after structural relaxation.

Lattice parameters (Å, degrees): 4.2266 4.2266 4.2266 90.00 90.00 90.00
Last column: nearest neighbours and their distance in Å.
Fractional positions:
K  0.0000  0.0000  0.0000  6 B 2.11
Hf  0.5000  0.5000  0.5000  12 B 2.99
B  0.0000  0.0000  0.5000  2 K 2.11
B  0.0000  0.5000  0.0000  2 K 2.11
B  0.5000  0.0000  0.0000  2 K 2.11

Summary:
The formation energy comes out at 2.817 eV per atom. The energy above the most stable polymorph in this dataset comes out at 1374.3 meV/atom. The spin magnetization is 0.00 μB/cell. As for the space group: No. 221.

Q: Look up the spin magnetization of the third one.
A: 0.00 μB/cell

Repeat the seventh record exactly.
VASP calculation (PBE) on HfBIrOs2 after structural relaxation.

Lattice parameters (Å, degrees): 4.1582 4.1582 4.1108 90.00 90.00 90.00
Last column: nearest neighbours and their distance in Å.
Fractional positions:
Hf  0.0000  0.0000  0.0000  8 Os 2.92, 4 Ir 2.94
B  0.5000  0.5000  0.5000  2 Ir 2.06, 4 Os 2.08
Ir  0.5000  0.5000  0.0000  2 B 2.06
Os  0.0000  0.5000  0.5000  2 B 2.08
Os  0.5000  0.0000  0.5000  2 B 2.08

Summary:
The formation energy comes out at -0.460 eV per atom. The energy above the most stable polymorph in this dataset comes out at 0.0 meV/atom. The spin magnetization is 0.00 μB/cell. As for the space group: No. 123.

Q: What is the formula in the twelfth record?
A: KHfB3

Q: Which formula does entry 5 have?
A: HfNi2BIr